Entry 1:
YCoReB: optimized geometry, GGA-PBE.

Values from the calculation:
For the relative energy among the computed polymorphs, the calculation gives 57.7 meV/atom. Its crystal system is cubic.

Cell lengths 4.4071, 4.4071, 4.4071 Å; angles 60.00, 60.00, 60.00 degrees
Last column: nearest neighbours and their distance in Å.
Sites, in units of the cell vectors:
B: 0.0000 0.0000 0.0000  4 Co 2.70, 4 Y 2.70
Co: 0.7500 0.7500 0.7500  4 Re 2.70, 4 B 2.70
Re: 0.5000 0.5000 0.5000  4 Co 2.70, 4 Y 2.70
Y: 0.2500 0.2500 0.2500  4 Re 2.70, 4 B 2.70

---

Entry 2:
Tm5FeTe3: optimized geometry, GGA-PBE.

Values from the calculation:
For the relative energy among the computed polymorphs, the calculation gives 0.0 meV/atom. Its crystal system is hexagonal.

Cell lengths 8.4369, 8.4369, 3.7045 Å; angles 90.00, 90.00, 120.00 degrees
Last column: nearest neighbours and their distance in Å.
Sites, in units of the cell vectors:
Fe: 0.0000 0.0000 0.0000  6 Tm 2.65
Te: 0.6103 0.0000 0.0000  8 Tm 3.20-3.41, 1 Fe 3.29
Te: 0.3897 0.3897 0.0000  8 Tm 3.20-3.41, 1 Fe 3.29
Te: 0.0000 0.6103 0.0000  8 Tm 3.20-3.41, 1 Fe 3.29
Tm: 0.2245 0.0000 0.5000  2 Fe 2.65
Tm: 0.0000 0.2245 0.5000  2 Fe 2.65
Tm: 0.6667 0.3333 0.5000  6 Te 3.20, 3 Tm 3.37
Tm: 0.3333 0.6667 0.5000  6 Te 3.20, 3 Tm 3.37
Tm: 0.7755 0.7755 0.5000  2 Fe 2.65

---

Entry 3:
ZnS2Br4: optimized geometry, GGA-PBE.

Values from the calculation:
Its crystal system is tetragonal. The value obtained for the energy is -2.261 eV per atom.

Cell lengths 7.2722, 7.2722, 4.2363 Å; angles 90.00, 90.00, 90.00 degrees
Last column: nearest neighbours and their distance in Å.
Sites, in units of the cell vectors:
Br: 0.2419 0.2419 0.1016  1 Zn 2.52, 2 S 2.61
Br: 0.7581 0.7581 0.1016  1 Zn 2.52, 2 S 2.61
Br: 0.7581 0.2419 0.8984  1 Zn 2.52, 2 S 2.61
Br: 0.2419 0.7581 0.8984  1 Zn 2.52, 2 S 2.61
S: 0.5000 0.0000 0.0000  4 Br 2.61
S: 0.0000 0.5000 0.0000  4 Br 2.61
Zn: 0.0000 0.0000 0.0000  4 Br 2.52

---

Entry 4:
TbGd2Al3Si2Ir: optimized geometry, GGA-PBE.

Values from the calculation:
Its crystal system is orthorhombic. The value obtained for the energy is -5.836 eV per atom.

Cell lengths 4.2379, 6.9631, 6.9631 Å; angles 119.99, 90.00, 90.00 degrees
Last column: nearest neighbours and their distance in Å.
Sites, in units of the cell vectors:
Al: 0.5000 0.2321 0.0002  2 Ir 2.66, 2 Si 2.74-2.75, 2 Al 2.80
Al: 0.5000 0.0002 0.2321  2 Ir 2.66, 2 Si 2.74-2.75, 2 Al 2.80
Al: 0.5000 0.7677 0.7677  2 Ir 2.67, 2 Si 2.74, 2 Al 2.80
Gd: 0.0000 0.9998 0.5843  1 Ir 2.90, 4 Si 2.98, 2 Al 3.24
Gd: 0.0000 0.5843 0.9998  1 Ir 2.90, 4 Si 2.98, 2 Al 3.24
Ir: 0.0000 0.0010 0.0010  6 Al 2.66-2.67, 1 Tb 2.88, 2 Gd 2.90
Si: 0.5000 0.6661 0.3336  3 Al 2.74-2.75, 2 Tb 2.98, 4 Gd 2.98
Si: 0.5000 0.3336 0.6661  3 Al 2.74-2.75, 2 Tb 2.98, 4 Gd 2.98
Tb: 0.0000 0.4151 0.4151  1 Ir 2.88, 4 Si 2.98

---

Entry 5:
HfBeGaNi: optimized geometry, GGA-PBE.

Values from the calculation:
For the relative energy among the computed polymorphs, the calculation gives 176.1 meV/atom. Its crystal system is cubic.

Cell lengths 4.2779, 4.2779, 4.2779 Å; angles 60.00, 60.00, 60.00 degrees
Last column: nearest neighbours and their distance in Å.
Sites, in units of the cell vectors:
Be: 0.5000 0.5000 0.5000  4 Ni 2.62, 4 Hf 2.62
Ga: 0.0000 0.0000 0.0000  4 Ni 2.62, 4 Hf 2.62
Hf: 0.2500 0.2500 0.2500  4 Be 2.62, 4 Ga 2.62
Ni: 0.7500 0.7500 0.7500  4 Be 2.62, 4 Ga 2.62

---

Entry 6:
La2Ga2Pd3Pt: optimized geometry, GGA-PBE.

Values from the calculation:
Its crystal system is trigonal. The value obtained for the energy is -5.589 eV per atom.

Cell lengths 4.4749, 4.4749, 9.5953 Å; angles 90.00, 90.00, 120.00 degrees
Last column: nearest neighbours and their distance in Å.
Sites, in units of the cell vectors:
Ga: 0.6667 0.3333 0.0046  3 Pt 2.66, 3 Pd 2.70
Ga: 0.6667 0.3333 0.5011  6 Pd 2.67
La: 0.3333 0.6667 0.2465  3 Pt 3.09, 5 Pd 3.12-3.14
La: 0.0000 0.0000 0.7511  7 Pd 3.06-3.10, 1 Pt 3.07
Pd: 0.0000 0.0000 0.4321  3 Ga 2.67, 3 Pd 2.91
Pd: 0.3333 0.6667 0.5726  3 Ga 2.67, 3 Pd 2.91
Pd: 0.3333 0.6667 0.9214  3 Ga 2.70, 3 Pt 2.95
Pt: 0.0000 0.0000 0.0705  3 Ga 2.66, 3 Pd 2.95

---

Entry 7:
SrHf2Zr: optimized geometry, GGA-PBE.

Values from the calculation:
Its crystal system is cubic. The value obtained for the energy is -6.855 eV per atom.

Cell lengths 5.2546, 5.2546, 5.2546 Å; angles 60.00, 60.00, 60.00 degrees
Last column: nearest neighbours and their distance in Å.
Sites, in units of the cell vectors:
Hf: 0.0000 0.0000 0.0000  4 Hf 3.22, 4 Zr 3.22
Hf: 0.2500 0.2500 0.2500  4 Hf 3.22, 4 Sr 3.22
Sr: 0.5000 0.5000 0.5000  4 Zr 3.22, 4 Hf 3.22
Zr: 0.7500 0.7500 0.7500  4 Sr 3.22, 4 Hf 3.22

---

Entry 8:
GdTmIn2: optimized geometry, GGA-PBE.

Values from the calculation:
Its crystal system is tetragonal. The value obtained for the energy is -4.107 eV per atom.

Cell lengths 3.5160, 3.5160, 8.4880 Å; angles 90.00, 90.00, 90.00 degrees
Last column: nearest neighbours and their distance in Å.
Sites, in units of the cell vectors:
Gd: 0.0000 0.0000 0.5000  8 In 3.30, 4 Gd 3.52
In: 0.5000 0.5000 0.2441  4 Tm 3.24, 4 Gd 3.30, 4 In 3.52
In: 0.5000 0.5000 0.7559  4 Tm 3.24, 4 Gd 3.30, 4 In 3.52
Tm: 0.0000 0.0000 0.0000  8 In 3.24, 4 Tm 3.52

---

Entry 9:
Sc2Sn3Mo4N3: optimized geometry, GGA-PBE.

Values from the calculation:
Its crystal system is monoclinic. The value obtained for the energy is -8.250 eV per atom.

Cell lengths 5.6130, 5.6130, 13.8154 Å; angles 101.36, 101.36, 60.36 degrees
Last column: nearest neighbours and their distance in Å.
Sites, in units of the cell vectors:
Mo: 0.1769 0.0430 0.0757  3 N 2.12-2.19
Mo: 0.8758 0.6906 0.0764  3 N 2.11-2.19
Mo: 0.3094 0.1242 0.4236  3 N 2.11-2.19
Mo: 0.9570 0.8231 0.4243  3 N 2.12-2.19
Mo: 0.0430 0.1769 0.5757  3 N 2.12-2.19
Mo: 0.6906 0.8758 0.5764  3 N 2.11-2.19
Mo: 0.1242 0.3094 0.9236  3 N 2.11-2.19
Mo: 0.8231 0.9570 0.9243  3 N 2.12-2.19
N: 0.5000 0.0000 0.0000  4 Mo 2.16-2.19, 2 Sc 2.19
N: 0.8171 0.3408 0.0000  4 Mo 2.11-2.19, 2 Sc 2.18-2.19
N: 0.1829 0.6592 0.0000  4 Mo 2.11-2.19, 2 Sc 2.18-2.19
N: 0.6592 0.1829 0.5000  4 Mo 2.11-2.19, 2 Sc 2.18-2.19
N: 0.0000 0.5000 0.5000  4 Mo 2.16-2.19, 2 Sc 2.19
N: 0.3408 0.8171 0.5000  4 Mo 2.11-2.19, 2 Sc 2.18-2.19
Sc: 0.5275 0.3557 0.0889  3 N 2.18-2.19
Sc: 0.6443 0.4725 0.4111  3 N 2.18-2.19
Sc: 0.3557 0.5275 0.5889  3 N 2.18-2.19
Sc: 0.4725 0.6443 0.9111  3 N 2.18-2.19
Sn: 0.5796 0.7805 0.2484  4 Mo 2.93-2.99, 2 Sc 2.96-3.00, 4 Sn 3.11-3.13
Sn: 0.9424 0.0576 0.2500  4 Mo 2.93, 2 Sc 2.96, 4 Sn 3.11-3.12
Sn: 0.2195 0.4204 0.2516  4 Mo 2.93-2.99, 2 Sc 2.96-3.00, 4 Sn 3.11-3.13
Sn: 0.7805 0.5796 0.7484  4 Mo 2.93-2.99, 2 Sc 2.96-3.00, 4 Sn 3.11-3.13
Sn: 0.0576 0.9424 0.7500  4 Mo 2.93, 2 Sc 2.96, 4 Sn 3.11-3.12
Sn: 0.4204 0.2195 0.7516  4 Mo 2.93-2.99, 2 Sc 2.96-3.00, 4 Sn 3.11-3.13

---

Entry 10:
BaTmSi2Ni4: optimized geometry, GGA-PBE.

Values from the calculation:
Its crystal system is hexagonal. The value obtained for the energy is -5.500 eV per atom.

Cell lengths 4.0069, 4.0069, 10.0700 Å; angles 90.00, 90.00, 120.00 degrees
Last column: nearest neighbours and their distance in Å.
Sites, in units of the cell vectors:
Ba: 0.0000 0.0000 0.0000  8 Ni 3.26-3.30, 6 Si 3.63
Ni: 0.6667 0.3333 0.2342  3 Si 2.36, 3 Ni 2.48
Ni: 0.0000 0.0000 0.3239  3 Si 2.36, 3 Ni 2.48
Ni: 0.0000 0.0000 0.6761  3 Si 2.36, 3 Ni 2.48
Ni: 0.6667 0.3333 0.7658  3 Si 2.36, 3 Ni 2.48
Si: 0.3333 0.6667 0.2781  6 Ni 2.36
Si: 0.3333 0.6667 0.7219  6 Ni 2.36
Tm: 0.6667 0.3333 0.5000  8 Ni 2.68-2.91

---

Entry 11:
Tb2Te3: optimized geometry, GGA-PBE.

Values from the calculation:
Its crystal system is orthorhombic. The value obtained for the energy is -5.158 eV per atom.

Cell lengths 14.4890, 13.8151, 7.5756 Å; angles 79.45, 69.62, 30.93 degrees
Last column: nearest neighbours and their distance in Å.
Sites, in units of the cell vectors:
Tb: 0.4999 0.4999 0.0001  6 Te 3.09
Tb: 0.7501 0.7501 0.2499  6 Te 3.09
Tb: 0.5827 0.5827 0.4173  6 Te 3.10
Tb: 0.0001 0.0001 0.4999  6 Te 3.09
Tb: 0.4173 0.4173 0.5827  6 Te 3.10
Tb: 0.8327 0.8327 0.6673  6 Te 3.10
Tb: 0.2499 0.2499 0.7501  6 Te 3.09
Tb: 0.6673 0.6673 0.8327  6 Te 3.10
Te: 0.4977 0.0023 0.0023  4 Tb 3.09-3.10
Te: 0.9167 0.4170 0.0842  4 Tb 3.09-3.10
Te: 0.3333 0.8330 0.1658  4 Tb 3.09-3.10
Te: 0.7523 0.2477 0.2477  4 Tb 3.09-3.10
Te: 0.1658 0.6680 0.3333  4 Tb 3.09-3.10
Te: 0.5820 0.0842 0.4170  4 Tb 3.09-3.10
Te: 0.0023 0.4977 0.4977  4 Tb 3.09-3.10
Te: 0.4170 0.9167 0.5820  4 Tb 3.09-3.10
Te: 0.8330 0.3333 0.6680  4 Tb 3.09-3.10
Te: 0.2477 0.7523 0.7523  4 Tb 3.09-3.10
Te: 0.6680 0.1658 0.8330  4 Tb 3.09-3.10
Te: 0.0842 0.5820 0.9167  4 Tb 3.09-3.10

---

Entry 12:
YTcPb2O6: optimized geometry, GGA-PBE.

Values from the calculation:
Its crystal system is cubic. The value obtained for the energy is -7.130 eV per atom.

Cell lengths 5.8442, 5.8442, 5.8442 Å; angles 60.00, 60.00, 60.00 degrees
Last column: nearest neighbours and their distance in Å.
Sites, in units of the cell vectors:
O: 0.7659 0.2341 0.2341  1 Tc 1.93
O: 0.2341 0.7659 0.2341  1 Tc 1.93
O: 0.7659 0.7659 0.2341  1 Tc 1.93
O: 0.7659 0.2341 0.7659  1 Tc 1.93
O: 0.2341 0.7659 0.7659  1 Tc 1.93
O: 0.2341 0.2341 0.7659  1 Tc 1.93
Pb: 0.2500 0.2500 0.2500  12 O 2.93
Pb: 0.7500 0.7500 0.7500  12 O 2.93
Tc: 0.0000 0.0000 0.0000  6 O 1.93
Y: 0.5000 0.5000 0.5000  6 O 2.20

---

Number 5 is which compound? HfBeGaNi